Compound: Co3AuO
Source: Alexandria
Functional: GGA+U
Structure: optimized geometry

Lattice parameters (Å, degrees): 4.0202 4.0202 4.0202 90.00 90.00 90.00
Fractional positions:
Co 0.0000 0.0000 0.5000
Co 0.0000 0.5000 0.0000
Co 0.5000 0.0000 0.0000
Au 0.5000 0.5000 0.5000
O 0.0000 0.0000 0.0000

Properties
As for the energy above the lowest structure with this stoichiometry: 0.00 eV per formula unit. The total magnetic moment is 6.01 μB per cell. The value obtained for the density of states at the Fermi level is 5.55 states/eV/f.u. The calculation puts the raw total energy at -0.169 hartree per atom.